DFT (PBE-GGA) results for a geometry-optimized Nd10SmHo4 structure.

The value obtained for the formation energy is 0.6912 eV/atom. Its spin magnetization is 0.00 μB/atom. As for the raw total energy: -4.02 eV per atom.

The space group is I4/m (No. 87) and the conventional cell measures 12.380, 12.380 and 7.815 Å, with angles of 90.00, 90.00 and 90.00 degrees. Symmetry generates all atoms from Nd at (0.000, 0.500, 0.250), Nd at (0.100, 0.201, 0.249), Sm at (0.000, 0.000, 0.500) and Ho at (0.100, 0.700, 0.000).